1.
Here is a geometry-optimized CsCaTeSe structure from the Alexandria database. Energies are from PBE.

Structure (CIF):
```
data_CsCaTeSe
_space_group_name_H-M_alt 'P 1'
_space_group_IT_number 1
_space_group_name_Hall 'P 1'
_cell_length_a 4.682
_cell_length_b 4.682
_cell_length_c 25.229
_cell_angle_alpha 90.00
_cell_angle_beta 90.00
_cell_angle_gamma 120.00
loop_
_atom_site_label
_atom_site_type_symbol
_atom_site_fract_x
_atom_site_fract_y
_atom_site_fract_z
Cs1 Cs 0.000 0.000 0.946
Cs2 Cs 0.333 0.667 0.612
Cs3 Cs 0.667 0.333 0.279
Ca1 Ca 0.000 0.000 0.106
Ca2 Ca 0.333 0.667 0.773
Ca3 Ca 0.667 0.333 0.439
Te1 Te 0.000 0.000 0.507
Te2 Te 0.333 0.667 0.174
Te3 Te 0.667 0.333 0.840
Se1 Se 0.000 0.000 0.383
Se2 Se 0.333 0.667 0.050
Se3 Se 0.667 0.333 0.716
```

Summary:
SG	R3m, No. 160

---

2.
Here is a geometry-optimized CsCaTeSe structure from the Alexandria database. Energies are from PBE.

Structure (CIF):
```
data_CsCaTeSe
_space_group_name_H-M_alt 'P 1'
_space_group_IT_number 1
_space_group_name_Hall 'P 1'
_cell_length_a 9.765
_cell_length_b 3.739
_cell_length_c 8.401
_cell_angle_alpha 90.00
_cell_angle_beta 109.54
_cell_angle_gamma 90.00
loop_
_atom_site_label
_atom_site_type_symbol
_atom_site_fract_x
_atom_site_fract_y
_atom_site_fract_z
Cs1 Cs 0.316 0.000 0.085
Cs2 Cs 0.316 0.500 0.585
Ca1 Ca 0.857 0.000 0.893
Ca2 Ca 0.857 0.500 0.393
Te1 Te 0.631 0.000 0.504
Te2 Te 0.631 0.500 0.004
Se1 Se 0.032 0.000 0.269
Se2 Se 0.032 0.500 0.769
```

Summary:
SG	Cm, No. 8

---

Respective energy relative to the lowest polymorph listed for this composition values: 0.166, 0.087 eV/f.u..
Respective D(E_F) values: 3.55, 4.37 states/eV/cell.
Respective total magnetization values: 0.95, 0.00 μB per formula unit.